[1]
A plane-wave DFT calculation with PBE was carried out for crystalline GeTeN2 at its relaxed geometry.

Properties
energy above the lowest structure with this stoichiometry	492	meV/atom
E_form (uncorrected)	1.02	eV/atom
density of states at the Fermi level	0.17	states/eV/atom
E_tot	-61.0	eV/cell
magnetic moment	0.00	Bohr magnetons per cell

Geometry as CIF:
```
data_GeTeN2
_chemical_formula_sum 'Ge3 Te3 N6'
_cell_length_a 3.3459
_cell_length_b 3.3459
_cell_length_c 19.6368
_cell_angle_alpha 90.00
_cell_angle_beta 90.00
_cell_angle_gamma 120.00
_symmetry_space_group_name_H-M 'R -3 m'
_symmetry_Int_Tables_number 166
_symmetry_space_group_name_Hall '-R 3 2"'
loop_
_atom_site_label
_atom_site_type_symbol
_atom_site_fract_x
_atom_site_fract_y
_atom_site_fract_z
Ge1 Ge 0.0000 0.0000 0.0000
Te1 Te 0.0000 0.0000 0.5000
N1 N 0.0000 0.0000 0.1038
```

***

[2]
A plane-wave DFT calculation with PBE was carried out for crystalline GeTe3N at its relaxed geometry.

Properties
energy above the lowest structure with this stoichiometry	1067	meV/atom
E_form (uncorrected)	1.77	eV/atom
density of states at the Fermi level	2.00	states/eV/atom
E_tot	-13.5	eV/cell
magnetic moment	0.00	Bohr magnetons per cell

Geometry as CIF:
```
data_GeTe3N
_chemical_formula_sum 'Ge1 Te3 N1'
_cell_length_a 5.3207
_cell_length_b 5.3207
_cell_length_c 5.3207
_cell_angle_alpha 90.00
_cell_angle_beta 90.00
_cell_angle_gamma 90.00
_symmetry_space_group_name_H-M 'P m -3 m'
_symmetry_Int_Tables_number 221
_symmetry_space_group_name_Hall '-P 4 2 3'
loop_
_atom_site_label
_atom_site_type_symbol
_atom_site_fract_x
_atom_site_fract_y
_atom_site_fract_z
Ge1 Ge 0.0000 0.0000 0.0000
Te1 Te 0.0000 0.0000 0.5000
N1 N 0.5000 0.5000 0.5000
```

***

[3]
A plane-wave DFT calculation with PBE was carried out for crystalline Ge3TeN at its relaxed geometry.

Properties
energy above the lowest structure with this stoichiometry	0	meV/atom
E_form (uncorrected)	0.59	eV/atom
density of states at the Fermi level	0.62	states/eV/atom
E_tot	-22.4	eV/cell
magnetic moment	0.00	Bohr magnetons per cell

Geometry as CIF:
```
data_Ge3TeN
_chemical_formula_sum 'Ge3 Te1 N1'
_cell_length_a 4.5933
_cell_length_b 4.5933
_cell_length_c 4.5933
_cell_angle_alpha 90.00
_cell_angle_beta 90.00
_cell_angle_gamma 90.00
_symmetry_space_group_name_H-M 'P m -3 m'
_symmetry_Int_Tables_number 221
_symmetry_space_group_name_Hall '-P 4 2 3'
loop_
_atom_site_label
_atom_site_type_symbol
_atom_site_fract_x
_atom_site_fract_y
_atom_site_fract_z
Ge1 Ge 0.0000 0.0000 0.5000
Te1 Te 0.5000 0.5000 0.5000
N1 N 0.0000 0.0000 0.0000
```

***

[4]
A plane-wave DFT calculation with PBE was carried out for crystalline GeTeN2 at its relaxed geometry.

Properties
energy above the lowest structure with this stoichiometry	0	meV/atom
E_form (uncorrected)	0.53	eV/atom
density of states at the Fermi level	0.30	states/eV/atom
E_tot	-66.9	eV/cell
magnetic moment	0.00	Bohr magnetons per cell

Geometry as CIF:
```
data_GeTeN2
_chemical_formula_sum 'Ge3 Te3 N6'
_cell_length_a 3.1266
_cell_length_b 3.1266
_cell_length_c 19.2727
_cell_angle_alpha 90.00
_cell_angle_beta 90.00
_cell_angle_gamma 120.00
_symmetry_space_group_name_H-M 'R -3 m'
_symmetry_Int_Tables_number 166
_symmetry_space_group_name_Hall '-R 3 2"'
loop_
_atom_site_label
_atom_site_type_symbol
_atom_site_fract_x
_atom_site_fract_y
_atom_site_fract_z
Ge1 Ge 0.0000 0.0000 0.0000
Te1 Te 0.0000 0.0000 0.5000
N1 N 0.0000 0.0000 0.3862
```